1.
This record from the Alexandria database describes As2RhSeF after structural relaxation. The functional is GGA-PBE.

Cell: 4.7424 4.7424 5.0442 Å, 90.00 90.00 90.00°
Space group P4/mmm (No. 123)
Unique sites:
As 0.0000 0.5000 0.0000 [2 per cell]
Rh 0.0000 0.0000 0.0000 [1 per cell]
Se 0.0000 0.0000 0.5000 [1 per cell]
F 0.5000 0.5000 0.5000 [1 per cell]

Output
The calculation puts the energy relative to the lowest polymorph listed for this composition at 0 meV per atom. Its size of the total moment is 1.8 μB/f.u. Its volume is 22.69 A^3/atom.

***

2.
This record from the Alexandria database describes Sr2AsRhF after structural relaxation. The functional is GGA-PBE.

Cell: 5.8118 5.8118 4.5522 Å, 90.00 90.00 90.00°
Space group P4/mmm (No. 123)
Unique sites:
Sr 0.0000 0.5000 0.0000 [2 per cell]
As 0.0000 0.0000 0.5000 [1 per cell]
Rh 0.0000 0.0000 0.0000 [1 per cell]
F 0.5000 0.5000 0.5000 [1 per cell]

Output
Its size of the total moment is 0.0 μB/f.u. Its volume is 30.75 A^3/atom.

***

3.
This record from the Alexandria database describes As2RuF after structural relaxation. The functional is GGA-PBE.

Cell: 5.5004 5.5004 11.1063 Å, 90.00 90.00 90.00°
Space group I-42d (No. 122)
Unique sites:
As 0.2315 0.2500 0.1250 [8 per cell]
Ru 0.0000 0.0000 0.0000 [4 per cell]
F 0.0000 0.0000 0.5000 [4 per cell]

Output
The calculation puts the energy relative to the lowest polymorph listed for this composition at 47 meV per atom. Its size of the total moment is 0.0 μB/f.u. Its volume is 21.00 A^3/atom.

***

The calculation returns the following theoretical density values, one per record and in order: 5.13 4.02 5.34 g/cm³.
The calculation returns the following total energy values, one per record and in order: -20.60 -23.08 -21.39 eV per formula unit.
The calculation returns the following energy relative to the elements, uncorrected values, one per record and in order: 280 -1170 -236 meV/atom.